Compound: CaHo2O4
Source: the Alexandria database
Functional: PBE
Structure: optimized geometry

As for the density of states at the Fermi level: 0.000 states/eV/cell. For the energy above the most stable polymorph in this dataset, the calculation gives 0.00 eV/f.u. The space group is Pnma, No. 62. The crystal system is orthorhombic.

abc: 3.370 9.863 11.779
angles: 90.00 90.00 90.00
Fractional positions:
O  0.750  0.076  0.082
Ho  0.250  0.926  0.613
O  0.750  0.284  0.316
O  0.750  0.500  0.788
O  0.250  0.424  0.582
Ca  0.250  0.256  0.146
Ho  0.250  0.418  0.387
O  0.250  0.000  0.288
O  0.250  0.716  0.684
O  0.250  0.134  0.519
O  0.250  0.216  0.816
Ho  0.750  0.574  0.113
O  0.750  0.366  0.019
Ho  0.250  0.426  0.887
Ca  0.250  0.756  0.354
Ca  0.750  0.744  0.854
Ho  0.750  0.074  0.387
O  0.750  0.000  0.712
Ho  0.250  0.918  0.113
O  0.750  0.866  0.481
Ca  0.750  0.244  0.646
Ho  0.750  0.082  0.887
Ho  0.750  0.582  0.613
O  0.750  0.784  0.184
O  0.250  0.500  0.212
O  0.250  0.634  0.981
O  0.750  0.576  0.418
O  0.250  0.924  0.918